Arrangement one

First-principles (PBE) data for a geometry-optimized Sb3RhF structure, as listed in Alexandria.

Mass density, kg/m³: 5973
Symmetry: Pm-3m
Fermi-level density of states, states/eV per cell: 6.775

extended XYZ file:
```
5
Lattice="5.136 0.000 0.000 0.000 5.136 0.000 0.000 0.000 5.136" Properties=species:S:1:pos:R:3 pbc="T T T"
Sb 0.000 0.000 2.568
Sb 0.000 2.568 0.000
Sb 2.568 0.000 0.000
Rh 0.000 0.000 0.000
F 2.568 2.568 2.568
```

Arrangement two

First-principles (PBE) data for a geometry-optimized Sb3RhF structure, as listed in Alexandria.

Mass density, kg/m³: 7375
Symmetry: Pm-3m
Fermi-level density of states, states/eV per cell: 1.918

extended XYZ file:
```
5
Lattice="4.787 0.000 0.000 0.000 4.787 0.000 0.000 0.000 4.787" Properties=species:S:1:pos:R:3 pbc="T T T"
Sb 0.000 0.000 2.393
Sb 0.000 2.393 0.000
Sb 2.393 0.000 0.000
Rh 2.393 2.393 2.393
F 0.000 0.000 0.000
```

The structure with the greatest stability is arrangement one.

Arrangement one

First-principles (PBE) data for a geometry-optimized Sb2TeRhF structure, as listed in Alexandria.

Mass density, kg/m³: 7272
Symmetry: P4/mmm
Fermi-level density of states, states/eV per cell: 3.385

extended XYZ file:
```
5
Lattice="4.661 0.000 0.000 0.000 4.661 0.000 0.000 0.000 5.181" Properties=species:S:1:pos:R:3 pbc="T T T"
Sb 0.000 2.331 0.000
Sb 2.331 0.000 0.000
Te 0.000 0.000 2.591
Rh 2.331 2.331 2.591
F 0.000 0.000 0.000
```

Arrangement two

First-principles (PBE) data for a geometry-optimized Sb2TeRhF structure, as listed in Alexandria.

Mass density, kg/m³: 5971
Symmetry: P4/mmm
Fermi-level density of states, states/eV per cell: 8.643

extended XYZ file:
```
5
Lattice="5.121 0.000 0.000 0.000 5.121 0.000 0.000 0.000 5.228" Properties=species:S:1:pos:R:3 pbc="T T T"
Sb 0.000 2.561 0.000
Sb 2.561 0.000 0.000
Te 0.000 0.000 2.614
Rh 0.000 0.000 0.000
F 2.561 2.561 2.614
```

The structure with the greatest stability is arrangement two.

Arrangement one

First-principles (PBE) data for a geometry-optimized SbTe2RhF structure, as listed in Alexandria.

Mass density, kg/m³: 5968
Symmetry: P4/mmm
Fermi-level density of states, states/eV per cell: 8.197

extended XYZ file:
```
5
Lattice="5.216 0.000 0.000 0.000 5.216 0.000 0.000 0.000 5.102" Properties=species:S:1:pos:R:3 pbc="T T T"
Sb 0.000 0.000 0.000
Te 0.000 2.608 2.551
Te 2.608 0.000 2.551
Rh 0.000 0.000 2.551
F 2.608 2.608 0.000
```

Arrangement two

First-principles (PBE) data for a geometry-optimized SbTe2RhF structure, as listed in Alexandria.

Mass density, kg/m³: 7131
Symmetry: P4/mmm
Fermi-level density of states, states/eV per cell: 6.140

extended XYZ file:
```
5
Lattice="5.104 0.000 0.000 0.000 5.104 0.000 0.000 0.000 4.460" Properties=species:S:1:pos:R:3 pbc="T T T"
Sb 0.000 0.000 0.000
Te 0.000 2.552 2.230
Te 2.552 0.000 2.230
Rh 2.552 2.552 0.000
F 0.000 0.000 2.230
```

The structure with the greatest stability is arrangement one.

Arrangement one

First-principles (PBE) data for a geometry-optimized ScRh3F structure, as listed in Alexandria.

Mass density, kg/m³: 5807
Symmetry: Pm-3m
Fermi-level density of states, states/eV per cell: 12.572

extended XYZ file:
```
5
Lattice="4.741 0.000 0.000 0.000 4.741 0.000 0.000 0.000 4.741" Properties=species:S:1:pos:R:3 pbc="T T T"
Sc 0.000 0.000 0.000
Rh 0.000 0.000 2.371
Rh 0.000 2.371 0.000
Rh 2.371 0.000 0.000
F 2.371 2.371 2.371
```

Arrangement two

First-principles (PBE) data for a geometry-optimized ScRh3F structure, as listed in Alexandria.

Mass density, kg/m³: 7812
Symmetry: Pm-3m
Fermi-level density of states, states/eV per cell: 4.965

extended XYZ file:
```
5
Lattice="4.295 0.000 0.000 0.000 4.295 0.000 0.000 0.000 4.295" Properties=species:S:1:pos:R:3 pbc="T T T"
Sc 0.000 0.000 0.000
Rh 0.000 2.147 2.147
Rh 2.147 0.000 2.147
Rh 2.147 2.147 0.000
F 2.147 2.147 2.147
```

The structure with the greatest stability is arrangement two.

Arrangement one

First-principles (PBE) data for a geometry-optimized RhSeF structure, as listed in Alexandria.

Mass density, kg/m³: 6277
Symmetry: P3m1

extended XYZ file:
```
3
Lattice="3.436 0.000 0.000 -1.718 2.976 0.000 0.000 0.000 5.196" Properties=species:S:1:pos:R:3 pbc="T T T"
Rh 0.000 0.000 0.000
Se 0.000 1.984 1.299
F 1.718 0.992 3.981
```

Arrangement two

First-principles (PBE) data for a geometry-optimized RhSeF structure, as listed in Alexandria.

Mass density, kg/m³: 5892
Symmetry: C2/m

extended XYZ file:
```
6
Lattice="6.025 -1.720 0.000 6.025 1.720 0.000 -2.955 0.000 5.462" Properties=species:S:1:pos:R:3 pbc="T T T"
Rh 2.278 0.000 1.326
Rh 6.817 0.000 4.136
Se 2.390 0.000 3.732
Se 6.705 0.000 1.730
F -0.668 0.000 4.581
F 9.763 0.000 0.882
```

The structure with the greatest stability is arrangement one.

Arrangement one

First-principles (PBE) data for a geometry-optimized Si2RhF structure, as listed in Alexandria.

Mass density, kg/m³: 3978
Symmetry: I-42d
Fermi-level density of states, states/eV per cell: 3.920

extended XYZ file:
```
8
Lattice="-2.649 2.649 5.295 2.649 -2.649 5.295 2.649 2.649 -5.295" Properties=species:S:1:pos:R:3 pbc="T T T"
Si 3.974 1.266 -1.324
Si 1.266 1.325 1.324
Si -1.325 1.383 3.971
Si 1.383 1.325 6.619
Rh 0.000 0.000 0.000
Rh 0.000 2.649 2.648
F 2.649 0.000 2.648
F 0.000 0.000 5.295
```

Arrangement two

First-principles (PBE) data for a geometry-optimized Si2RhF structure, as listed in Alexandria.

Mass density, kg/m³: 5661
Symmetry: Fm-3m
Fermi-level density of states, states/eV per cell: 4.252

extended XYZ file:
```
4
Lattice="0.000 2.967 2.967 2.967 0.000 2.967 2.967 2.967 0.000" Properties=species:S:1:pos:R:3 pbc="T T T"
Si 1.483 1.483 1.483
Si 4.450 4.450 4.450
Rh 0.000 0.000 0.000
F 2.967 2.967 2.967
```

The structure with the greatest stability is arrangement two.

Arrangement one

First-principles (PBE) data for a geometry-optimized SiRhF2 structure, as listed in Alexandria.

Mass density, kg/m³: 5676
Symmetry: R-3m
Fermi-level density of states, states/eV per cell: 3.548

extended XYZ file:
```
4
Lattice="1.348 0.778 7.851 -1.348 0.778 7.851 0.000 -1.557 7.851" Properties=species:S:1:pos:R:3 pbc="T T T"
Si 0.000 0.000 0.000
Rh 0.000 0.000 11.777
F 0.000 0.000 9.749
F 0.000 0.000 13.805
```

Arrangement two

First-principles (PBE) data for a geometry-optimized SiRhF2 structure, as listed in Alexandria.

Mass density, kg/m³: 4821
Symmetry: R-3m
Fermi-level density of states, states/eV per cell: 2.983

extended XYZ file:
```
4
Lattice="1.332 0.769 9.471 -1.332 0.769 9.471 0.000 -1.538 9.471" Properties=species:S:1:pos:R:3 pbc="T T T"
Si 0.000 0.000 0.000
Rh 0.000 0.000 14.207
F 0.000 0.000 1.645
F 0.000 0.000 26.768
```

The structure with the greatest stability is arrangement two.

Arrangement one

First-principles (PBE) data for a geometry-optimized SiRhF2 structure, as listed in Alexandria.

Mass density, kg/m³: 5516
Symmetry: Fm-3m
Fermi-level density of states, states/eV per cell: 8.975

extended XYZ file:
```
4
Lattice="0.000 2.941 2.941 2.941 0.000 2.941 2.941 2.941 0.000" Properties=species:S:1:pos:R:3 pbc="T T T"
Si 0.000 0.000 0.000
Rh 2.941 2.941 2.941
F 1.470 1.470 1.470
F 4.411 4.411 4.411
```

Arrangement two

First-principles (PBE) data for a geometry-optimized SiRhF2 structure, as listed in Alexandria.

Mass density, kg/m³: 5814
Symmetry: I-42d
Fermi-level density of states, states/eV per cell: 7.101

extended XYZ file:
```
8
Lattice="-1.772 1.772 7.689 1.772 -1.772 7.689 1.772 1.772 -7.689" Properties=species:S:1:pos:R:3 pbc="T T T"
Si 0.000 0.000 0.000
Si 0.000 1.772 3.845
Rh 1.772 0.000 3.845
Rh 0.000 0.000 7.689
F 2.657 0.847 -1.922
F 0.847 0.886 1.922
F -0.886 0.924 5.767
F 0.924 0.886 9.612
```

The structure with the greatest stability is arrangement two.

Arrangement one

First-principles (PBE) data for a geometry-optimized SrRhF structure, as listed in Alexandria.

Mass density, kg/m³: 6173
Symmetry: I4/mmm
Fermi-level density of states, states/eV per cell: 4.500

extended XYZ file:
```
6
Lattice="-1.809 1.809 8.614 1.809 -1.809 8.614 1.809 1.809 -8.614" Properties=species:S:1:pos:R:3 pbc="T T T"
Sr 0.000 0.000 2.592
Sr 0.000 0.000 14.636
Rh 0.000 1.807 8.613
Rh 1.807 0.000 8.613
F 0.000 0.000 5.182
F 0.000 0.000 12.046
```

Arrangement two

First-principles (PBE) data for a geometry-optimized SrRhF structure, as listed in Alexandria.

Mass density, kg/m³: 5574
Symmetry: C2/m
Fermi-level density of states, states/eV per cell: 3.666

extended XYZ file:
```
6
Lattice="3.420 -2.197 0.000 3.420 2.197 0.000 -2.437 0.000 8.306" Properties=species:S:1:pos:R:3 pbc="T T T"
Sr -0.062 0.000 2.421
Sr 4.465 0.000 5.885
Rh 2.163 0.000 0.073
Rh 2.240 0.000 8.233
F 0.004 0.000 4.969
F 4.399 0.000 3.337
```

Arrangement three

First-principles (PBE) data for a geometry-optimized SrRhF structure, as listed in Alexandria.

Mass density, kg/m³: 6278
Symmetry: Pm
Fermi-level density of states, states/eV per cell: 4.009

extended XYZ file:
```
6
Lattice="3.515 0.000 0.000 0.000 3.522 0.000 -0.039 0.000 8.953" Properties=species:S:1:pos:R:3 pbc="T T T"
Sr 0.000 0.000 0.000
Sr 1.719 1.761 5.392
Rh 3.501 0.000 3.024
Rh 1.744 1.761 2.368
F 1.718 1.761 7.995
F 3.473 0.000 6.350
```

The structure with the greatest stability is arrangement two.

Arrangement one

First-principles (PBE) data for a geometry-optimized SrRhF structure, as listed in Alexandria.

Mass density, kg/m³: 5084
Symmetry: Pnma
Fermi-level density of states, states/eV per cell: 2.217

extended XYZ file:
```
12
Lattice="8.052 0.000 0.000 0.000 4.327 0.000 0.000 0.000 7.856" Properties=species:S:1:pos:R:3 pbc="T T T"
Sr 1.323 1.082 1.093
Sr 2.703 3.246 5.021
Sr 5.349 1.082 2.835
Sr 6.729 3.246 6.763
Rh 8.051 1.082 4.430
Rh 0.001 3.246 3.427
Rh 4.025 1.082 7.355
Rh 4.027 3.246 0.501
F 0.239 3.246 0.796
F 3.787 1.082 4.724
F 4.265 3.246 3.132
F 7.813 1.082 7.060
```

Arrangement two

First-principles (PBE) data for a geometry-optimized SrRhF structure, as listed in Alexandria.

Mass density, kg/m³: 5678
Symmetry: Cm
Fermi-level density of states, states/eV per cell: 3.120

extended XYZ file:
```
6
Lattice="3.258 -2.262 0.000 3.258 2.262 0.000 -3.249 0.000 8.314" Properties=species:S:1:pos:R:3 pbc="T T T"
Sr 0.000 0.000 0.000
Sr 3.269 0.000 3.407
Rh -1.253 0.000 5.861
Rh 1.223 0.000 5.860
F -0.811 0.000 2.478
F 2.432 0.000 0.932
```

Arrangement three

First-principles (PBE) data for a geometry-optimized SrRhF structure, as listed in Alexandria.

Mass density, kg/m³: 5982
Symmetry: Pnma
Fermi-level density of states, states/eV per cell: 7.737

extended XYZ file:
```
12
Lattice="15.930 0.000 0.000 0.000 4.702 0.000 0.000 0.000 3.106" Properties=species:S:1:pos:R:3 pbc="T T T"
Sr 1.499 1.176 0.002
Sr 6.466 3.527 1.555
Sr 9.464 1.176 1.551
Sr 14.431 3.527 3.103
Rh 3.809 3.527 0.053
Rh 4.156 1.176 1.606
Rh 11.774 3.527 1.500
Rh 12.121 1.176 3.052
F 0.000 0.000 1.553
F 0.000 2.351 1.553
F 7.965 0.000 0.000
F 7.965 2.351 0.000
```

Arrangement four

First-principles (PBE) data for a geometry-optimized SrRhF structure, as listed in Alexandria.

Mass density, kg/m³: 5095
Symmetry: P6_3/mmc
Fermi-level density of states, states/eV per cell: 2.866

extended XYZ file:
```
6
Lattice="4.308 0.000 0.000 -2.154 3.730 0.000 0.000 0.000 8.500" Properties=species:S:1:pos:R:3 pbc="T T T"
Sr 0.000 2.487 2.125
Sr 2.154 1.243 6.375
Rh 0.000 0.000 0.000
Rh 0.000 0.000 4.250
F 0.000 0.000 2.125
F 0.000 0.000 6.375
```

The structure with the greatest stability is arrangement two.

Arrangement one

First-principles (PBE) data for a geometry-optimized SrRhF structure, as listed in Alexandria.

Mass density, kg/m³: 6164
Symmetry: P4/nmm
Fermi-level density of states, states/eV per cell: 4.127

extended XYZ file:
```
6
Lattice="3.616 0.000 0.000 0.000 3.616 0.000 0.000 0.000 8.634" Properties=species:S:1:pos:R:3 pbc="T T T"
Sr 0.904 0.904 1.717
Sr 2.712 2.712 6.917
Rh 0.904 2.712 4.317
Rh 2.712 0.904 4.317
F 0.904 0.904 7.751
F 2.712 2.712 0.883
```

Arrangement two

First-principles (PBE) data for a geometry-optimized SrRhF structure, as listed in Alexandria.

Mass density, kg/m³: 5432
Symmetry: F-43m
Fermi-level density of states, states/eV per cell: 3.707

extended XYZ file:
```
3
Lattice="0.000 3.176 3.176 3.176 0.000 3.176 3.176 3.176 0.000" Properties=species:S:1:pos:R:3 pbc="T T T"
Sr 0.000 0.000 0.000
Rh 1.588 1.588 1.588
F 3.176 3.176 3.176
```

The structure with the greatest stability is arrangement one.

Arrangement one

First-principles (PBE) data for a geometry-optimized SrRhF3 structure, as listed in Alexandria.

Mass density, kg/m³: 3927
Symmetry: Pm-3m
Fermi-level density of states, states/eV per cell: 0.000

extended XYZ file:
```
5
Lattice="4.713 0.000 0.000 0.000 4.713 0.000 0.000 0.000 4.713" Properties=species:S:1:pos:R:3 pbc="T T T"
Sr 0.000 0.000 0.000
Rh 2.356 2.356 2.356
F 0.000 0.000 2.356
F 0.000 2.356 0.000
F 2.356 0.000 0.000
```

Arrangement two

First-principles (PBE) data for a geometry-optimized SrRhF3 structure, as listed in Alexandria.

Mass density, kg/m³: 4930
Symmetry: Pm-3m
Fermi-level density of states, states/eV per cell: 2.037

extended XYZ file:
```
5
Lattice="4.368 0.000 0.000 0.000 4.368 0.000 0.000 0.000 4.368" Properties=species:S:1:pos:R:3 pbc="T T T"
Sr 0.000 0.000 0.000
Rh 2.184 2.184 2.184
F 0.000 2.184 2.184
F 2.184 0.000 2.184
F 2.184 2.184 0.000
```

The structure with the greatest stability is arrangement two.